<a>
Material: CrAsBr
Method: DFT, PBE-GGA
State: relaxed

Geometry as POSCAR:
```
CrAsBr
1.0
6.641 0.000 0.000
0.000 6.641 0.000
0.000 0.000 6.641
Cr As Br
4 4 4
Direct
0.000 0.000 0.000 Cr
0.000 0.500 0.500 Cr
0.500 0.000 0.500 Cr
0.500 0.500 0.000 Cr
0.250 0.250 0.250 As
0.250 0.750 0.750 As
0.750 0.250 0.750 As
0.750 0.750 0.250 As
0.000 0.000 0.500 Br
0.000 0.500 0.000 Br
0.500 0.000 0.000 Br
0.500 0.500 0.500 Br
```

Output
magnetic moment	13.91	Bohr magnetons per cell
DOS at the Fermi energy	3.242	states/eV/f.u.


<b>
Material: CrAsBr
Method: DFT, PBE-GGA
State: relaxed

Geometry as POSCAR:
```
CrAsBr
1.0
3.705 0.000 0.000
-1.852 3.208 0.000
0.000 0.000 6.108
Cr As Br
1 1 1
Direct
0.000 0.000 0.000 Cr
0.667 0.333 0.178 As
0.333 0.667 0.730 Br
```

Output
magnetic moment	2.07	Bohr magnetons per cell


Order of stability, best first: <b>, <a>


<a>
Material: CrAsBr
Method: DFT, PBE-GGA
State: relaxed

Geometry as POSCAR:
```
CrAsBr
1.0
3.906 0.000 0.000
0.000 5.086 0.000
0.000 0.000 14.381
Cr As Br
4 4 4
Direct
0.000 0.000 0.000 Cr
0.000 0.500 0.500 Cr
0.500 0.000 0.500 Cr
0.500 0.500 0.000 Cr
0.000 0.000 0.612 As
0.000 0.500 0.112 As
0.500 0.000 0.112 As
0.500 0.500 0.612 As
0.000 0.000 0.378 Br
0.000 0.500 0.878 Br
0.500 0.000 0.878 Br
0.500 0.500 0.378 Br
```

Output
magnetic moment	12.41	Bohr magnetons per cell
DOS at the Fermi energy	2.689	states/eV/f.u.


<b>
Material: CrAsBr
Method: DFT, PBE-GGA
State: relaxed

Geometry as POSCAR:
```
CrAsBr
1.0
13.665 0.000 0.000
0.000 3.616 0.000
0.000 0.000 6.774
Cr As Br
4 4 4
Direct
0.000 0.000 0.000 Cr
0.000 0.500 0.500 Cr
0.500 0.000 0.390 Cr
0.500 0.500 0.890 Cr
0.409 0.000 0.064 As
0.409 0.500 0.564 As
0.591 0.000 0.064 As
0.591 0.500 0.564 As
0.127 0.000 0.499 Br
0.127 0.500 0.999 Br
0.873 0.000 0.499 Br
0.873 0.500 0.999 Br
```

Output
magnetic moment	4.02	Bohr magnetons per cell
DOS at the Fermi energy	1.176	states/eV/f.u.


<c>
Material: CrAsBr
Method: DFT, PBE-GGA
State: relaxed

Geometry as POSCAR:
```
CrAsBr
1.0
3.203 0.000 0.000
-1.601 2.774 0.000
0.000 0.000 6.949
Cr As Br
1 1 1
Direct
0.000 0.000 0.000 Cr
0.333 0.667 0.246 As
0.667 0.333 0.764 Br
```

Output
magnetic moment	0.00	Bohr magnetons per cell
DOS at the Fermi energy	1.538	states/eV/f.u.


<d>
Material: CrAsBr
Method: DFT, PBE-GGA
State: relaxed

Geometry as POSCAR:
```
CrAsBr
1.0
6.304 0.000 0.000
0.000 6.304 0.000
0.000 0.000 6.304
Cr As Br
4 4 4
Direct
0.000 0.000 0.000 Cr
0.000 0.500 0.500 Cr
0.500 0.000 0.500 Cr
0.500 0.500 0.000 Cr
0.250 0.250 0.250 As
0.250 0.750 0.750 As
0.750 0.250 0.750 As
0.750 0.750 0.250 As
0.250 0.250 0.750 Br
0.250 0.750 0.250 Br
0.750 0.250 0.250 Br
0.750 0.750 0.750 Br
```

Output
magnetic moment	9.70	Bohr magnetons per cell
DOS at the Fermi energy	1.573	states/eV/f.u.


Order of stability, best first: <b>, <c>, <a>, <d>


<a>
Material: CrAs3Br
Method: DFT, PBE-GGA
State: relaxed

Geometry as POSCAR:
```
CrAs3Br
1.0
4.687 0.000 0.000
0.000 4.687 0.000
0.000 0.000 4.687
Cr As Br
1 3 1
Direct
0.000 0.000 0.000 Cr
0.000 0.000 0.500 As
0.000 0.500 0.000 As
0.500 0.000 0.000 As
0.500 0.500 0.500 Br
```

Output
magnetic moment	0.00	Bohr magnetons per cell
DOS at the Fermi energy	3.760	states/eV/f.u.


<b>
Material: CrAs3Br
Method: DFT, PBE-GGA
State: relaxed

Geometry as POSCAR:
```
CrAs3Br
1.0
4.995 0.000 0.000
0.000 4.995 0.000
0.000 0.000 4.995
Cr As Br
1 3 1
Direct
0.000 0.000 0.000 Cr
0.000 0.500 0.500 As
0.500 0.000 0.500 As
0.500 0.500 0.000 As
0.500 0.500 0.500 Br
```

Output
magnetic moment	0.47	Bohr magnetons per cell
DOS at the Fermi energy	7.849	states/eV/f.u.


Order of stability, best first: <a>, <b>